Model 1:
A relaxed structure of ZnCr2P, computed with PBE.

Calculated values
The volume comes out at 50.0 Å³ per cell. As for the crystal system: trigonal.

Lattice parameters (Å, degrees): 8.026 8.026 8.026 19.42 19.42 19.42
Fractional positions:
Zn: 0.750 0.750 0.750
Cr: 0.992 0.992 0.992
Cr: 0.508 0.508 0.508
P: 0.250 0.250 0.250



Model 2:
A relaxed structure of ZnCr2P, computed with PBE.

Calculated values
The volume comes out at 49.7 Å³ per cell. As for the crystal system: tetragonal.

Lattice parameters (Å, degrees): 3.016 3.016 5.461 90.00 90.00 90.00
Fractional positions:
Zn: 0.500 0.500 0.755
P: 0.000 0.000 0.471
Cr: 0.500 0.500 0.254
Cr: 0.000 0.000 0.020



Model 3:
A relaxed structure of ZnCr2P, computed with PBE.

Calculated values
The volume comes out at 51.3 Å³ per cell. As for the crystal system: monoclinic.

Lattice parameters (Å, degrees): 4.065 2.765 4.725 75.03 90.00 90.00
Fractional positions:
Zn: 0.500 0.696 0.744
Cr: 0.500 0.345 0.261
P: 0.000 0.384 0.462
Cr: 0.000 0.075 0.033



Most stable of them? model 2.



Model 1:
A relaxed structure of Zn3CrP, computed with PBE.

Calculated values
The volume comes out at 102.4 Å³ per cell. As for the crystal system: cubic.

Lattice parameters (Å, degrees): 4.678 4.678 4.678 90.00 90.00 90.00
Fractional positions:
Zn: 0.000 0.000 0.500
Zn: 0.500 0.000 0.000
Zn: 0.000 0.500 0.000
Cr: 0.500 0.500 0.500
P: 0.000 0.000 0.000



Model 2:
A relaxed structure of Zn3CrP, computed with PBE.

Calculated values
The volume comes out at 101.2 Å³ per cell. As for the crystal system: cubic.

Lattice parameters (Å, degrees): 4.661 4.661 4.661 90.00 90.00 90.00
Fractional positions:
Zn: 0.000 0.500 0.000
Zn: 0.000 0.000 0.500
P: 0.500 0.500 0.500
Cr: 0.000 0.000 0.000
Zn: 0.500 0.000 0.000



Most stable of them? model 1.



Model 1:
A relaxed structure of ZnCr3P, computed with PBE.

Calculated values
The volume comes out at 97.3 Å³ per cell. As for the crystal system: cubic.

Lattice parameters (Å, degrees): 4.599 4.599 4.599 90.00 90.00 90.00
Fractional positions:
P: 0.500 0.500 0.500
Cr: 0.500 0.000 0.000
Cr: 0.000 0.500 0.000
Cr: 0.000 0.000 0.500
Zn: 0.000 0.000 0.000



Model 2:
A relaxed structure of ZnCr3P, computed with PBE.

Calculated values
The volume comes out at 73.8 Å³ per cell. As for the crystal system: cubic.

Lattice parameters (Å, degrees): 4.194 4.194 4.194 90.00 90.00 90.00
Fractional positions:
Zn: 0.500 0.500 0.500
Cr: 0.000 0.000 0.500
Cr: 0.000 0.500 0.000
Cr: 0.500 0.000 0.000
P: 0.000 0.000 0.000



Most stable of them? model 2.